A plane-wave DFT calculation with GGA-PBE was carried out for crystalline MgMn4Cl at its relaxed geometry.

The structure belongs to space group F-43m (No. 216); the cell edges are 7.604, 7.604 and 7.604 Å and the angles 90.00°, 90.00° and 90.00°. The inequivalent atoms are Mg at (0.000, 0.000, 0.000), Mn at (0.127, 0.127, 0.373) and Cl at (0.250, 0.250, 0.750).

Its crystal system is cubic. The calculation puts the formation energy (no corrections) at 616 meV/atom. Its mass density is 4.2 g/cm3.